{
  "formula": "SrTbCu2",
  "functional": "PBE",
  "state": "optimized geometry",
  "lattice": [[3.6320, 0.0000, 0.0000], [0.0000, 3.6320, 0.0000], [0.0000, 0.0000, 7.2791]],
  "species": ["Sr", "Tb", "Cu", "Cu"],
  "frac_coords": [[0.0000, 0.0000, 0.0000], [0.0000, 0.0000, 0.5000], [0.5000, 0.5000, 0.3035], [0.5000, 0.5000, 0.6965]],
  "total_energy_ev_per_cell": -14.97,
  "magnetic_moment_mub_per_fu": 0.00,
  "space_group": "P4/mmm (123)",
  "crystal_system": "tetragonal",
  "formation_enthalpy_0k_kj_per_mol_atoms": -11.2
}

=====

{
  "formula": "Be2TcHgF",
  "functional": "PBE",
  "state": "optimized geometry",
  "lattice": [[3.8100, 0.0000, 0.0000], [0.0000, 3.8100, 0.0000], [0.0000, 0.0000, 4.7252]],
  "species": ["Be", "Be", "Tc", "Hg", "F"],
  "frac_coords": [[0.0000, 0.5000, 0.0000], [0.5000, 0.0000, 0.0000], [0.0000, 0.0000, 0.5000], [0.5000, 0.5000, 0.5000], [0.5000, 0.5000, 0.0000]],
  "total_energy_ev_per_cell": -18.42,
  "magnetic_moment_mub_per_fu": 0.00,
  "space_group": "P4/mmm (123)",
  "formation_energy_uncorrected_mev_per_atom": 315,
  "crystal_system": "tetragonal"
}

=====

{
  "formula": "SmTiBi3",
  "functional": "PBE",
  "state": "optimized geometry",
  "lattice": [[13.4090, 0.0000, 0.0000], [0.0000, 6.6001, 0.0000], [0.0000, 0.0000, 6.3641]],
  "species": ["Sm", "Sm", "Sm", "Sm", "Ti", "Ti", "Ti", "Ti", "Bi", "Bi", "Bi", "Bi", "Bi", "Bi", "Bi", "Bi", "Bi", "Bi", "Bi", "Bi"],
  "frac_coords": [[0.1872, 0.0087, 0.2500], [0.1872, 0.4913, 0.7500], [0.8128, 0.5087, 0.2500], [0.8128, 0.9913, 0.7500], [0.4050, 0.7500, 0.0000], [0.4050, 0.7500, 0.5000], [0.5950, 0.2500, 0.0000], [0.5950, 0.2500, 0.5000], [0.0029, 0.7500, 0.0000], [0.0029, 0.7500, 0.5000], [0.2659, 0.5084, 0.2500], [0.2659, 0.9916, 0.7500], [0.4297, 0.1064, 0.2500], [0.4297, 0.3936, 0.7500], [0.5703, 0.6064, 0.2500], [0.5703, 0.8936, 0.7500], [0.7341, 0.0084, 0.2500], [0.7341, 0.4916, 0.7500], [0.9971, 0.2500, 0.0000], [0.9971, 0.2500, 0.5000]],
  "total_energy_ev_per_cell": -106.22,
  "magnetic_moment_mub_per_fu": 0.00,
  "space_group": "Pbcm (57)",
  "crystal_system": "orthorhombic",
  "formation_enthalpy_0k_kj_per_mol_atoms": -44.4
}

=====

{
  "formula": "LaP2CO",
  "functional": "PBE",
  "state": "optimized geometry",
  "lattice": [[3.6974, 0.0000, 0.0000], [0.0000, 3.6974, 0.0000], [0.0000, 0.0000, 5.8992]],
  "species": ["La", "P", "P", "C", "O"],
  "frac_coords": [[0.0000, 0.0000, 0.0000], [0.0000, 0.5000, 0.5000], [0.5000, 0.0000, 0.5000], [0.5000, 0.5000, 0.5000], [0.5000, 0.5000, 0.0000]],
  "total_energy_ev_per_cell": -31.22,
  "magnetic_moment_mub_per_fu": 0.00,
  "space_group": "P4/mmm (123)",
  "formation_energy_uncorrected_mev_per_atom": -258,
  "crystal_system": "tetragonal"
}

=====

{
  "formula": "EuDySc",
  "functional": "PBE",
  "state": "optimized geometry",
  "lattice": [[-1.7874, 1.7874, 7.3691], [1.7874, -1.7874, 7.3691], [1.7874, 1.7874, -7.3691]],
  "species": ["Eu", "Dy", "Sc"],
  "frac_coords": [[0.0000, 0.0000, 0.0000], [0.3154, 0.3154, 0.0000], [0.6700, 0.6700, 0.0000]],
  "total_energy_ev_per_cell": -20.89,
  "magnetic_moment_mub_per_fu": 7.05,
  "space_group": "I4mm (107)",
  "crystal_system": "tetragonal",
  "formation_enthalpy_0k_kj_per_mol_atoms": 10.3
}

=====

{
  "formula": "ErBe2Ni2",
  "functional": "PBE",
  "state": "optimized geometry",
  "lattice": [[-1.8638, 1.8638, 4.6732], [1.8638, -1.8638, 4.6732], [1.8638, 1.8638, -4.6732]],
  "species": ["Er", "Be", "Be", "Ni", "Ni"],
  "frac_coords": [[0.0000, 0.0000, 0.0000], [0.3726, 0.3726, 0.0000], [0.6274, 0.6274, 0.0000], [0.2500, 0.7500, 0.5000], [0.7500, 0.2500, 0.5000]],
  "total_energy_ev_per_cell": -25.38,
  "magnetic_moment_mub_per_fu": 0.00,
  "space_group": "I4/mmm (139)",
  "crystal_system": "tetragonal",
  "formation_enthalpy_0k_kj_per_mol_atoms": -34.7
}

=====

{
  "formula": "HfSi2O6",
  "functional": "PBE",
  "state": "optimized geometry",
  "lattice": [[4.9792, -4.5966, 0.0000], [4.9792, 4.5966, 0.0000], [-1.7909, 0.0000, 5.1225]],
  "species": ["Hf", "Hf", "Si", "Si", "Si", "Si", "O", "O", "O", "O", "O", "O", "O", "O", "O", "O", "O", "O"],
  "frac_coords": [[0.1148, 0.8852, 0.7500], [0.8852, 0.1148, 0.2500], [0.2181, 0.3783, 0.7534], [0.3783, 0.2181, 0.2534], [0.6217, 0.7819, 0.7466], [0.7819, 0.6217, 0.2466], [0.0566, 0.1852, 0.6384], [0.1105, 0.6028, 0.7835], [0.1852, 0.0566, 0.1384], [0.3524, 0.3568, 0.0387], [0.3568, 0.3524, 0.5387], [0.3972, 0.8895, 0.7165], [0.6028, 0.1105, 0.2835], [0.6432, 0.6476, 0.4613], [0.6476, 0.6432, 0.9613], [0.8148, 0.9434, 0.8616], [0.8895, 0.3972, 0.2165], [0.9434, 0.8148, 0.3616]],
  "total_energy_ev_per_cell": -155.60,
  "magnetic_moment_mub_per_fu": 0.00,
  "space_group": "C2/c (15)",
  "formation_energy_uncorrected_mev_per_atom": -3028,
  "crystal_system": "monoclinic"
}

=====

{
  "formula": "InCoHg",
  "functional": "PBE",
  "state": "optimized geometry",
  "lattice": [[4.4107, 0.0000, 0.0000], [-2.2054, 3.8198, 0.0000], [0.0000, 0.0000, 3.3184]],
  "species": ["In", "Co", "Hg"],
  "frac_coords": [[0.0000, 0.0000, 0.0000], [0.6667, 0.3333, 0.2542], [0.3333, 0.6667, 0.5640]],
  "total_energy_ev_per_cell": -8.81,
  "magnetic_moment_mub_per_fu": 0.44,
  "space_group": "P3m1 (156)",
  "crystal_system": "trigonal",
  "formation_enthalpy_0k_kj_per_mol_atoms": 42.9
}

=====

{
  "formula": "MnFeSi2",
  "functional": "PBE",
  "state": "optimized geometry",
  "lattice": [[2.5597, 0.0000, 0.0000], [0.0000, 2.5597, 0.0000], [0.0000, 0.0000, 7.1493]],
  "species": ["Mn", "Fe", "Si", "Si"],
  "frac_coords": [[0.0000, 0.0000, 0.0000], [0.5000, 0.5000, 0.7836], [0.0000, 0.0000, 0.5552], [0.5000, 0.5000, 0.2377]],
  "total_energy_ev_per_cell": -28.64,
  "magnetic_moment_mub_per_fu": 0.00,
  "space_group": "P4mm (99)",
  "formation_energy_uncorrected_mev_per_atom": -40,
  "crystal_system": "tetragonal"
}

=====

{
  "formula": "Pr5Ag2Sn",
  "functional": "PBE",
  "state": "optimized geometry",
  "lattice": [[-4.2211, 4.2211, 6.8222], [4.2211, -4.2211, 6.8222], [4.2211, 4.2211, -6.8222]],
  "species": ["Pr", "Pr", "Pr", "Pr", "Pr", "Pr", "Pr", "Pr", "Pr", "Pr", "Ag", "Ag", "Ag", "Ag", "Sn", "Sn"],
  "frac_coords": [[0.0000, 0.0000, 0.0000], [0.0081, 0.5081, 0.8138], [0.1943, 0.0081, 0.5000], [0.3057, 0.8057, 0.8138], [0.4919, 0.3057, 0.5000], [0.5000, 0.5000, 0.0000], [0.5081, 0.6943, 0.5000], [0.6943, 0.1943, 0.1862], [0.8057, 0.9919, 0.5000], [0.9919, 0.4919, 0.1862], [0.1308, 0.3692, 0.5000], [0.3692, 0.8692, 0.2385], [0.6308, 0.1308, 0.7615], [0.8692, 0.6308, 0.5000], [0.2500, 0.2500, 0.0000], [0.7500, 0.7500, 0.0000]],
  "total_energy_ev_per_cell": -72.35,
  "magnetic_moment_mub_per_fu": 0.00,
  "space_group": "I4/mcm (140)",
  "crystal_system": "tetragonal",
  "formation_enthalpy_0k_kj_per_mol_atoms": -31.1
}

=====

{
  "formula": "RbGeSb2Te",
  "functional": "PBE",
  "state": "optimized geometry",
  "lattice": [[5.5017, 0.0000, 0.0000], [0.0000, 5.5017, 0.0000], [0.0000, 0.0000, 5.8371]],
  "species": ["Rb", "Ge", "Sb", "Sb", "Te"],
  "frac_coords": [[0.0000, 0.0000, 0.0000], [0.5000, 0.5000, 0.5000], [0.0000, 0.5000, 0.5000], [0.5000, 0.0000, 0.5000], [0.5000, 0.5000, 0.0000]],
  "total_energy_ev_per_cell": -16.19,
  "magnetic_moment_mub_per_fu": 0.63,
  "space_group": "P4/mmm (123)",
  "formation_energy_uncorrected_mev_per_atom": 157,
  "crystal_system": "tetragonal"
}

=====

{
  "formula": "ZnGe3Pt",
  "functional": "PBE",
  "state": "optimized geometry",
  "lattice": [[4.7085, 0.0000, 0.0000], [0.0000, 4.7085, 0.0000], [0.0000, 0.0000, 4.7085]],
  "species": ["Zn", "Ge", "Ge", "Ge", "Pt"],
  "frac_coords": [[0.0000, 0.0000, 0.0000], [0.0000, 0.0000, 0.5000], [0.0000, 0.5000, 0.0000], [0.5000, 0.0000, 0.0000], [0.5000, 0.5000, 0.5000]],
  "total_energy_ev_per_cell": -17.49,
  "magnetic_moment_mub_per_fu": 0.00,
  "space_group": "Pm-3m (221)",
  "crystal_system": "cubic",
  "formation_enthalpy_0k_kj_per_mol_atoms": 70.9
}